{"formula": "Mn3NiF8", "functional": "GGA+U", "state": "relaxed", "n_ef_per_ev_cell": 0.0, "energy_ry_per_atom": -0.428, "sg": "No. 21", "lattice": [[2.866, -4.965, 0.000], [2.866, 4.965, 0.000], [0.000, 0.000, 6.285]], "species": ["Mn", "Mn", "Mn", "Ni", "F", "F", "F", "F", "F", "F", "F", "F"], "fractional_positions": [[0.000, 0.000, 0.000], [0.000, 0.500, 0.746], [0.500, 0.000, 0.254], [0.000, 0.000, 0.500], [0.203, 0.265, 0.740], [0.206, 0.794, 0.500], [0.216, 0.784, 0.000], [0.265, 0.203, 0.260], [0.735, 0.797, 0.260], [0.784, 0.216, 0.000], [0.794, 0.206, 0.500], [0.797, 0.735, 0.740]]}